(1)
Density functional theory data (PBE-GGA) for a relaxed BaBrO2F crystal.

Cell lengths 5.081, 5.081, 4.862 Å; angles 90.00, 90.00, 90.00 degrees
Each line ends with the local moment (μB).
Fractional coordinates of all 5 atoms:
1 O 0.500 0.000 0.000  -0.26
2 Ba 0.000 0.000 0.000  -0.09
3 O 0.000 0.500 0.000  -0.26
4 Br 0.500 0.500 0.500  0.54
5 F 0.000 0.000 0.500  0.04

The space-group type is P4/mmm (123). The value obtained for the energy relative to the elements, uncorrected is -0.431 eV per atom.

=====

(2)
Density functional theory data (PBE-GGA) for a relaxed BaBrO2F crystal.

Cell lengths 4.062, 4.062, 5.247 Å; angles 90.00, 90.00, 90.00 degrees
Fractional coordinates of all 5 atoms:
1 Br 0.000 0.000 0.000
2 O 0.500 0.000 0.000
3 F 0.000 0.000 0.500
4 O 0.000 0.500 0.000
5 Ba 0.500 0.500 0.500

The space-group type is P4/mmm (123). The value obtained for the energy relative to the elements, uncorrected is -1.280 eV per atom.

=====

(3)
Density functional theory data (PBE-GGA) for a relaxed Ba4PBr2F crystal.

Cell lengths 4.551, 7.650, 8.309 Å; angles 108.25, 90.00, 90.00 degrees
Fractional coordinates of all 8 atoms:
1 P 0.500 0.500 0.000
2 Ba 0.000 0.254 0.786
3 F 0.000 0.000 0.000
4 Br 0.000 0.500 0.500
5 Ba 0.000 0.746 0.214
6 Ba 0.500 0.240 0.217
7 Br 0.500 0.000 0.500
8 Ba 0.500 0.760 0.783

The space-group type is P2/m (10). The value obtained for the energy relative to the elements, uncorrected is -1.786 eV per atom.

=====

(4)
Density functional theory data (PBE-GGA) for a relaxed Ba6P2Br3F crystal.

Cell lengths 7.880, 7.880, 8.295 Å; angles 99.18, 99.18, 119.97 degrees
Fractional coordinates of all 12 atoms:
1 Br 0.500 0.500 0.500
2 P 0.334 0.666 0.000
3 Ba 0.072 0.402 0.215
4 F 0.000 0.000 0.000
5 P 0.666 0.334 0.000
6 Ba 0.259 0.259 0.782
7 Ba 0.402 0.072 0.215
8 Ba 0.598 0.928 0.785
9 Ba 0.741 0.741 0.218
10 Br 0.172 0.828 0.500
11 Br 0.828 0.172 0.500
12 Ba 0.928 0.598 0.785

The space-group type is C2/m (12). The value obtained for the energy relative to the elements, uncorrected is -1.730 eV per atom.

=====

Number 1: total magnetization 0.04 μB per cell. Number 2: total magnetization 0.00 μB per cell. Number 3: total magnetization 0.00 μB per cell. Number 4: total magnetization 0.00 μB per cell.